1.
DFT (PBE) results for an optimized crystal structure of CrPtRh.

Cell and atoms, written as POSCAR:
```
CrPtRh
1.0
4.324 0.000 0.000
-2.162 3.744 0.000
0.000 0.000 5.368
Cr Pt Rh
2 2 2
Cartesian
0.000 2.496 1.342
2.162 1.248 4.026
0.000 2.496 4.026
2.162 1.248 1.342
0.000 0.000 0.000
0.000 0.000 2.684
```

***

2.
DFT (PBE) results for an optimized crystal structure of CrPt2Rh.

Cell and atoms, written as POSCAR:
```
CrPt2Rh
1.0
4.686 0.000 0.000
0.000 2.834 0.000
-1.497 0.000 4.451
Cr Pt Rh
1 2 1
Cartesian
0.000 0.000 0.000
-0.749 1.417 2.226
1.594 0.000 2.226
2.343 1.417 0.000
```

***

3.
DFT (PBE) results for an optimized crystal structure of Cr3PtRh3.

Cell and atoms, written as POSCAR:
```
Cr3PtRh3
1.0
4.211 -4.266 0.000
4.211 4.266 0.000
0.000 0.000 5.650
Cr Pt Rh
6 2 6
Cartesian
0.000 0.000 1.404
0.000 0.000 4.246
2.105 2.133 1.390
2.105 2.133 4.260
2.105 -2.133 1.390
2.105 -2.133 4.260
2.349 0.000 2.825
6.073 0.000 2.825
4.211 1.983 2.825
4.211 1.959 0.000
2.326 0.000 0.000
6.096 0.000 0.000
4.211 -1.959 0.000
4.211 -1.983 2.825
```

***

4.
DFT (PBE) results for an optimized crystal structure of CrPt6Rh.

Cell and atoms, written as POSCAR:
```
CrPt6Rh
1.0
3.919 0.000 0.000
0.000 3.919 0.000
0.000 0.000 7.891
Cr Pt Rh
1 6 1
Cartesian
0.000 0.000 0.000
0.000 1.959 1.934
0.000 1.959 5.957
1.959 0.000 1.934
1.959 0.000 5.957
1.959 1.959 0.000
1.959 1.959 3.946
0.000 0.000 3.946
```

***

Asked for ΔH_f (0 K) across the records above, the calculation gives -7 -11 6 -14 kJ/mol of atoms in order.